1.
! PBE Zr3TcSe, optimized geometry; values from VASP
&SYSTEM
  ibrav = 0, nat = 5, ntyp = 3
/
ATOMIC_SPECIES
Tc 98.00 Tc.upf
Zr 91.22 Zr.upf
Se 78.96 Se.upf
ATOMIC_POSITIONS angstrom
Tc 0.000 0.000 0.000
Zr -0.733 0.753 -2.283
Zr -2.308 0.448 0.889
Zr -0.674 -2.356 -0.561
Se -3.715 -1.154 -1.955
CELL_PARAMETERS angstrom
-1.466 1.506 -4.567
-1.347 -4.712 -1.121
-4.616 0.897 1.777
! total energy	-37.9	eV/cell
! formation energy from raw total energies	0.32	eV/atom
! space-group type	Pm-3m, No. 221
! energy relative to the lowest polymorph listed for this composition	0	kJ/mol of formula units

2.
! PBE Ac2Si2Au, optimized geometry; values from VASP
&SYSTEM
  ibrav = 0, nat = 10, ntyp = 3
/
ATOMIC_SPECIES
Si 28.09 Si.upf
Ac 227.00 Ac.upf
Au 196.97 Au.upf
ATOMIC_POSITIONS angstrom
Si 2.256 2.518 5.862
Si 6.768 4.137 4.114
Si 6.768 5.993 8.900
Si 2.256 0.661 1.076
Ac 6.768 2.546 9.097
Ac 2.256 4.108 0.879
Ac 4.512 5.107 6.474
Ac 4.512 1.548 3.502
Au 4.512 4.905 3.125
Au 4.512 1.750 6.851
CELL_PARAMETERS angstrom
4.512 0.000 0.000
2.256 5.863 -0.073
2.256 0.791 10.049
! total energy	-51.5	eV/cell
! formation energy from raw total energies	-0.69	eV/atom
! space-group type	C2/m, No. 12
! energy relative to the lowest polymorph listed for this composition	0	kJ/mol of formula units

3.
! PBE Ge2POsI, optimized geometry; values from VASP
&SYSTEM
  ibrav = 0, nat = 5, ntyp = 4
/
ATOMIC_SPECIES
Os 190.23 Os.upf
I 126.90 I.upf
Ge 72.64 Ge.upf
P 30.97 P.upf
ATOMIC_POSITIONS angstrom
Os 0.000 2.211 0.000
I 2.595 2.211 2.595
Ge 2.595 0.000 0.000
Ge 0.000 0.000 2.595
P 0.000 0.000 0.000
CELL_PARAMETERS angstrom
5.190 0.000 0.000
0.000 4.421 0.000
0.000 0.000 5.190
! total energy	-22.9	eV/cell
! formation energy from raw total energies	0.91	eV/atom
! space-group type	P4/mmm, No. 123

4.
! PBE Ti2NbPb, optimized geometry; values from VASP
&SYSTEM
  ibrav = 0, nat = 4, ntyp = 3
/
ATOMIC_SPECIES
Nb 92.91 Nb.upf
Ti 47.87 Ti.upf
Pb 207.20 Pb.upf
ATOMIC_POSITIONS angstrom
Nb -5.741 0.845 1.281
Ti -6.325 -1.512 2.491
Ti -3.079 0.423 0.701
Pb -10.524 0.419 2.848
CELL_PARAMETERS angstrom
-1.322 2.895 0.811
-2.092 1.713 -1.863
-8.219 -2.695 3.560
! formation enthalpy at 0 K	0.179	eV per atom
! total energy	-28.9	eV/cell
! space-group type	Cm, No. 8

5.
! PBE Ca2PmNbO6, optimized geometry; values from VASP
&SYSTEM
  ibrav = 0, nat = 10, ntyp = 4
/
ATOMIC_SPECIES
O 16.00 O.upf
Pm 145.00 Pm.upf
Ca 40.08 Ca.upf
Nb 92.91 Nb.upf
ATOMIC_POSITIONS angstrom
O 4.692 5.319 1.224
O 8.037 3.284 1.224
O 6.479 1.915 3.866
O 6.657 4.653 3.865
O 4.603 1.404 1.224
O 4.196 3.439 3.865
Pm 8.666 5.003 2.897
Ca 2.889 1.668 4.540
Ca 5.777 3.336 2.036
Nb 2.889 1.668 0.276
CELL_PARAMETERS angstrom
5.777 0.000 0.000
2.889 5.003 0.000
2.889 1.668 4.988
! total energy	-78.7	eV/cell
! formation energy from raw total energies	-3.02	eV/atom
! space-group type	R3, No. 146

6.
! PBE La2AgBIr, optimized geometry; values from VASP
&SYSTEM
  ibrav = 0, nat = 5, ntyp = 4
/
ATOMIC_SPECIES
La 138.91 La.upf
Ir 192.22 Ir.upf
Ag 107.87 Ag.upf
B 10.81 B.upf
ATOMIC_POSITIONS angstrom
La 0.000 2.719 0.000
La 2.719 0.000 0.000
Ir 0.000 0.000 2.008
Ag 2.719 2.719 2.008
B 0.000 0.000 0.000
CELL_PARAMETERS angstrom
5.437 0.000 0.000
0.000 5.437 0.000
0.000 0.000 4.017
! formation enthalpy at 0 K	-0.382	eV per atom
! total energy	-30.2	eV/cell
! space-group type	P4/mmm, No. 123

7.
! PBE Pm6Nd3Er2Th, optimized geometry; values from VASP
&SYSTEM
  ibrav = 0, nat = 12, ntyp = 4
/
ATOMIC_SPECIES
Nd 144.24 Nd.upf
Pm 145.00 Pm.upf
Er 167.26 Er.upf
Th 232.04 Th.upf
ATOMIC_POSITIONS angstrom
Nd 4.169 -0.024 5.959
Nd 1.032 1.788 5.959
Nd -2.104 3.599 5.959
Pm -0.033 -0.058 8.980
Pm 3.105 1.791 8.996
Pm 2.065 -0.009 2.923
Pm 2.098 3.633 2.938
Pm -1.040 1.785 2.923
Pm 0.000 3.584 8.996
Er 3.139 1.814 0.015
Er 0.002 3.625 0.015
Th 0.000 0.000 0.000
CELL_PARAMETERS angstrom
6.274 0.003 0.015
-3.132 5.436 0.015
-1.076 -1.864 11.887
! formation enthalpy at 0 K	0.027	eV per atom
! total energy	-59.0	eV/cell
! space-group type	C2/m, No. 12

8.
! PBE PuHfPa2, optimized geometry; values from VASP
&SYSTEM
  ibrav = 0, nat = 4, ntyp = 3
/
ATOMIC_SPECIES
Pa 231.04 Pa.upf
Hf 178.49 Hf.upf
Pu 244.00 Pu.upf
ATOMIC_POSITIONS angstrom
Pa 2.560 1.478 1.045
Pa 7.680 4.434 3.135
Hf 5.120 2.956 2.090
Pu 0.000 0.000 0.000
CELL_PARAMETERS angstrom
5.120 0.000 0.000
2.560 4.434 0.000
2.560 1.478 4.180
! formation enthalpy at 0 K	0.156	eV per atom
! total energy	-42.7	eV/cell
! space-group type	Fm-3m, No. 225
! energy relative to the lowest polymorph listed for this composition	31	kJ/mol of formula units

9.
! PBE PrIn2Sn, optimized geometry; values from VASP
&SYSTEM
  ibrav = 0, nat = 4, ntyp = 3
/
ATOMIC_SPECIES
In 114.82 In.upf
Pr 140.91 Pr.upf
Sn 118.71 Sn.upf
ATOMIC_POSITIONS angstrom
In -1.116 -4.037 8.763
In -0.401 -1.574 2.637
Pr -0.759 -2.806 5.700
Sn 0.000 0.000 0.000
CELL_PARAMETERS angstrom
-3.211 -2.878 2.642
1.760 -3.782 2.858
-0.066 1.048 5.901
! formation enthalpy at 0 K	-0.225	eV per atom
! total energy	-15.2	eV/cell
! space-group type	R-3m, No. 166
! energy relative to the lowest polymorph listed for this composition	105	kJ/mol of formula units

10.
! PBE Ca3Er2UN6, optimized geometry; values from VASP
&SYSTEM
  ibrav = 0, nat = 12, ntyp = 4
/
ATOMIC_SPECIES
Er 167.26 Er.upf
U 238.03 U.upf
Ca 40.08 Ca.upf
N 14.01 N.upf
ATOMIC_POSITIONS angstrom
Er -2.515 -0.646 2.284
Er -2.880 1.915 -0.015
U 0.000 0.000 0.000
Ca -0.960 4.793 0.299
Ca -0.597 2.241 2.591
Ca -0.233 -0.311 4.882
N 2.015 2.827 2.828
N -3.209 1.655 2.353
N -0.708 2.288 5.100
N -0.486 2.194 0.081
N -1.049 4.687 2.946
N -0.144 -0.204 2.235
CELL_PARAMETERS angstrom
-3.245 4.474 -2.313
-2.151 -3.205 4.582
4.202 3.213 2.911
! total energy	-94.1	eV/cell
! formation energy from raw total energies	-1.48	eV/atom
! space-group type	C2/m, No. 12

11.
! PBE Ac3Ce2NdS6, optimized geometry; values from VASP
&SYSTEM
  ibrav = 0, nat = 12, ntyp = 4
/
ATOMIC_SPECIES
Ac 227.00 Ac.upf
S 32.06 S.upf
Nd 144.24 Nd.upf
Ce 140.12 Ce.upf
ATOMIC_POSITIONS angstrom
Ac 1.436 -3.857 4.250
Ac 2.294 -3.498 0.175
Ac 3.152 -3.139 -3.900
S 3.119 -5.464 2.325
S -0.226 -5.018 -0.490
S 4.815 -1.978 0.839
S 1.470 -1.532 -1.975
S 3.979 -5.104 -1.762
S 0.610 -1.893 2.111
Nd 0.000 0.000 0.000
Ce -1.692 -3.508 1.470
Ce -0.837 -3.150 -2.590
CELL_PARAMETERS angstrom
-2.548 -3.866 5.533
0.018 -2.792 -6.652
7.119 -0.338 1.469
! total energy	-77.8	eV/cell
! formation energy from raw total energies	-2.01	eV/atom
! space-group type	C2/m, No. 12

12.
! PBE SmZnAu, optimized geometry; values from VASP
&SYSTEM
  ibrav = 0, nat = 3, ntyp = 3
/
ATOMIC_SPECIES
Au 196.97 Au.upf
Sm 150.36 Sm.upf
Zn 65.41 Zn.upf
ATOMIC_POSITIONS angstrom
Au -0.359 0.024 -0.490
Sm 0.002 -1.802 -3.106
Zn -1.006 -2.514 -0.142
CELL_PARAMETERS angstrom
-2.152 0.146 -2.940
3.521 -1.260 -2.640
-2.732 -3.178 1.842
! formation enthalpy at 0 K	-0.644	eV per atom
! total energy	-11.2	eV/cell
! space-group type	P-6m2, No. 187